[1]
This record from Alexandria via LeMat-Bulk describes a relaxed structure of DyHoRu4. The functional is PBE.

Its formation energy is -0.31 eV/atom. The calculation puts the density of states at the Fermi level at 25.8 states/eV per cell. As for the crystal system: cubic. The value obtained for the total DFT energy (no corrections) is -8.024 eV/atom.

The structure belongs to space group F-43m (No. 216); the cell edges are 7.535, 7.535 and 7.535 Å and the angles 90.00°, 90.00° and 90.00°. The distinct sites, in fractional coordinates, are Dy at (0.000, 0.000, 0.000), Ho at (0.250, 0.250, 0.250) and Ru at (0.125, 0.125, 0.625).

=====

[2]
This record from Alexandria via LeMat-Bulk describes a relaxed structure of UTiV2. The functional is PBE.

Its formation energy is 0.10 eV/atom. The calculation puts the density of states at the Fermi level at 22.0 states/eV per cell. As for the crystal system: cubic. The value obtained for the total DFT energy (no corrections) is -9.255 eV/atom. The polymorph energy (0 for the lowest one) is 0.0 kJ/mol of atoms.

The structure belongs to space group Fm-3m (No. 225); the cell edges are 6.344, 6.344 and 6.344 Å and the angles 90.00°, 90.00° and 90.00°. The distinct sites, in fractional coordinates, are U at (0.000, 0.000, 0.000), Ti at (0.000, 0.000, 0.500) and V at (0.250, 0.250, 0.250).

=====

[3]
This record from Alexandria via LeMat-Bulk describes a relaxed structure of TlCu2As2. The functional is PBE.

Its formation energy is 0.04 eV/atom. The calculation puts the density of states at the Fermi level at 4.1 states/eV per cell. As for the crystal system: tetragonal. The value obtained for the total DFT energy (no corrections) is -3.930 eV/atom. The polymorph energy (0 for the lowest one) is 1.4 kJ/mol of atoms.

The structure belongs to space group I4/mmm (No. 139); the cell edges are 4.381, 4.381 and 10.158 Å and the angles 90.00°, 90.00° and 90.00°. The distinct sites, in fractional coordinates, are Tl at (0.000, 0.000, 0.000), Cu at (0.000, 0.500, 0.250) and As at (0.000, 0.000, 0.374).

=====

[4]
This record from Alexandria via LeMat-Bulk describes a relaxed structure of BaRu2Se. The functional is PBE.

The calculation puts the density of states at the Fermi level at 6.3 states/eV per cell. As for the crystal system: tetragonal. The value obtained for the total DFT energy (no corrections) is -5.276 eV/atom. Its formation energy from raw total energies is 0.7142 eV/atom.

The structure belongs to space group P4/mmm (No. 123); the cell edges are 4.299, 4.299 and 4.614 Å and the angles 90.00°, 90.00° and 90.00°. The distinct sites, in fractional coordinates, are Ba at (0.000, 0.000, 0.000), Ru at (0.000, 0.500, 0.500) and Se at (0.500, 0.500, 0.000).

=====

[5]
This record from Alexandria via LeMat-Bulk describes a relaxed structure of RbMgAsSe2. The functional is PBE.

The calculation puts the density of states at the Fermi level at 5.2 states/eV per cell. As for the crystal system: tetragonal. The value obtained for the total DFT energy (no corrections) is -3.075 eV/atom. The polymorph energy (0 for the lowest one) is 0.0 kJ/mol of atoms. Its formation energy from raw total energies is -0.2393 eV/atom.

The structure belongs to space group P4/mmm (No. 123); the cell edges are 5.307, 5.307 and 5.089 Å and the angles 90.00°, 90.00° and 90.00°. The distinct sites, in fractional coordinates, are Rb at (0.000, 0.000, 0.000), Mg at (0.500, 0.500, 0.500), As at (0.500, 0.500, 0.000) and Se at (0.000, 0.500, 0.500).

=====

[6]
This record from Alexandria via LeMat-Bulk describes a relaxed structure of CaGdPt2. The functional is PBE.

Its formation energy is -1.05 eV/atom. The calculation puts the density of states at the Fermi level at 7.3 states/eV per cell. As for the crystal system: cubic. The value obtained for the total DFT energy (no corrections) is -8.090 eV/atom. The polymorph energy (0 for the lowest one) is 2.6 kJ/mol of atoms.

The structure belongs to space group Fm-3m (No. 225); the cell edges are 7.005, 7.005 and 7.005 Å and the angles 90.00°, 90.00° and 90.00°. The distinct sites, in fractional coordinates, are Ca at (0.000, 0.000, 0.000), Gd at (0.000, 0.000, 0.500) and Pt at (0.250, 0.250, 0.250).

=====

What is the formula in the fourth record?
BaRu2Se